{
  "formula": "CsGa3Sb3",
  "functional": "PBE-GGA",
  "state": "relaxed",
  "mass_density_g_cm3": 4.58,
  "e_form_raw_ev_per_atom": -0.190,
  "energy_ha_per_atom": -0.1241,
  "relative_energy_ev_per_fu": 0.13,
  "lattice_angstrom": [[3.960, 2.286, 9.436], [-3.960, 2.286, 9.436], [0.000, -4.572, 9.436]],
  "species": ["Cs", "Cs", "Ga", "Ga", "Ga", "Ga", "Ga", "Ga", "Sb", "Sb", "Sb", "Sb", "Sb", "Sb"],
  "fractional_positions": [[0.167, 0.167, 0.167], [0.833, 0.833, 0.833], [0.032, 0.706, 0.369], [0.294, 0.631, 0.968], [0.369, 0.032, 0.706], [0.631, 0.968, 0.294], [0.706, 0.369, 0.032], [0.968, 0.294, 0.631], [0.069, 0.398, 0.727], [0.273, 0.931, 0.602], [0.398, 0.727, 0.069], [0.602, 0.273, 0.931], [0.727, 0.069, 0.398], [0.931, 0.602, 0.273]]
}